Compound: Li2MnAuO
Source: the Alexandria database
Functional: GGA+U
Structure: relaxed

Summary:
total energy: -4.9090 eV/atom
crystal system: tetragonal
magnetic moment: 4.3 μB per cell

Cell: 4.072 4.072 4.117 Å, 90.00 90.00 90.00°
Each line ends with the local moment (μB).
Positions (direct):
Mn  0.000  0.000  0.500  4.35
Au  0.500  0.500  0.500  -0.01
O  0.000  0.000  0.000  0.00
Li  0.000  0.500  0.000  -0.02
Li  0.500  0.000  0.000  -0.02